Entry a
## Ce3PtAu (PBE)

Data for crystalline Ce3PtAu at its relaxed geometry.

Calculated values
Magnetic moment = 3.65 μB/f.u.

Geometry as CIF:
```
data_Ce3PtAu
_chemical_formula_sum 'Ce6 Pt2 Au2'
_cell_length_a 5.4312
_cell_length_b 5.9709
_cell_length_c 8.7164
_cell_angle_alpha 90.00
_cell_angle_beta 90.07
_cell_angle_gamma 90.00
_symmetry_space_group_name_H-M 'P 1 21/m 1'
_symmetry_Int_Tables_number 11
loop_
_symmetry_equiv_pos_as_xyz
'x,y,z'
'-x,-y,-z'
'-x,y+1/2,-z'
'x,-y+1/2,z'
loop_
_atom_site_label
_atom_site_type_symbol
_atom_site_fract_x
_atom_site_fract_y
_atom_site_fract_z
Ce1 Ce 0.0000 0.0000 0.0000
Ce2 Ce 0.0008 0.2500 0.3545
Ce3 Ce 0.4992 0.2500 0.7455
Pt1 Pt 0.0009 0.7500 0.3175
Au1 Au 0.5004 0.2500 0.1249
```

Entry b
## Ce3PtAu (PBE)

Data for crystalline Ce3PtAu at its relaxed geometry.

Calculated values
Magnetic moment = 2.18 μB/f.u.

Geometry as CIF:
```
data_Ce3PtAu
_chemical_formula_sum 'Ce12 Pt4 Au4'
_cell_length_a 7.3537
_cell_length_b 4.8074
_cell_length_c 14.5370
_cell_angle_alpha 90.00
_cell_angle_beta 90.00
_cell_angle_gamma 90.00
_symmetry_space_group_name_H-M 'P n m a'
_symmetry_Int_Tables_number 62
loop_
_symmetry_equiv_pos_as_xyz
'x,y,z'
'-x,-y,-z'
'-x+1/2,-y,z+1/2'
'x+1/2,y,-z+1/2'
'x+1/2,-y+1/2,-z+1/2'
'-x+1/2,y+1/2,z+1/2'
'-x,y+1/2,-z'
'x,-y+1/2,z'
loop_
_atom_site_label
_atom_site_type_symbol
_atom_site_fract_x
_atom_site_fract_y
_atom_site_fract_z
Ce1 Ce 0.0356 0.2500 0.1126
Ce2 Ce 0.1192 0.2500 0.5099
Ce3 Ce 0.1715 0.7500 0.2611
Pt1 Pt 0.1777 0.2500 0.9335
Au1 Au 0.0739 0.7500 0.6783
```

Most stable structure: entry b

Entry a
## CePtAu2 (PBE)

Data for crystalline CePtAu2 at its relaxed geometry.

Calculated values
Magnetic moment = 0.52 μB/f.u.

Geometry as CIF:
```
data_CePtAu2
_chemical_formula_sum 'Ce4 Pt4 Au8'
_cell_length_a 6.9117
_cell_length_b 6.9117
_cell_length_c 6.9117
_cell_angle_alpha 90.00
_cell_angle_beta 90.00
_cell_angle_gamma 90.00
_symmetry_space_group_name_H-M 'F m -3 m'
_symmetry_Int_Tables_number 225
_symmetry_space_group_name_Hall '-F 4 2 3'
loop_
_atom_site_label
_atom_site_type_symbol
_atom_site_fract_x
_atom_site_fract_y
_atom_site_fract_z
Ce1 Ce 0.0000 0.0000 0.0000
Pt1 Pt 0.0000 0.0000 0.5000
Au1 Au 0.2500 0.2500 0.2500
```

Entry b
## CePtAu2 (PBE)

Data for crystalline CePtAu2 at its relaxed geometry.

Calculated values
Magnetic moment = 0.56 μB/f.u.

Geometry as CIF:
```
data_CePtAu2
_chemical_formula_sum 'Ce4 Pt4 Au8'
_cell_length_a 4.2135
_cell_length_b 9.9545
_cell_length_c 8.0556
_cell_angle_alpha 90.00
_cell_angle_beta 90.00
_cell_angle_gamma 90.00
_symmetry_space_group_name_H-M 'C m c m'
_symmetry_Int_Tables_number 63
_symmetry_space_group_name_Hall '-C 2c 2'
loop_
_atom_site_label
_atom_site_type_symbol
_atom_site_fract_x
_atom_site_fract_y
_atom_site_fract_z
Ce1 Ce 0.0000 0.0645 0.2500
Pt1 Pt 0.0000 0.2317 0.7500
Au1 Au 0.0000 0.3673 0.0554
```

Most stable structure: entry b

Entry a
## CePuPtAu (PBE)

Data for crystalline CePuPtAu at its relaxed geometry.

Calculated values
Magnetic moment = 6.58 μB/f.u.

Geometry as CIF:
```
data_CePuPtAu
_chemical_formula_sum 'Ce4 Pu4 Pt4 Au4'
_cell_length_a 7.2020
_cell_length_b 7.2020
_cell_length_c 7.2020
_cell_angle_alpha 90.00
_cell_angle_beta 90.00
_cell_angle_gamma 90.00
_symmetry_space_group_name_H-M 'F -4 3 m'
_symmetry_Int_Tables_number 216
_symmetry_space_group_name_Hall 'F -4 2 3'
loop_
_atom_site_label
_atom_site_type_symbol
_atom_site_fract_x
_atom_site_fract_y
_atom_site_fract_z
Ce1 Ce 0.0000 0.0000 0.0000
Pu1 Pu 0.0000 0.0000 0.5000
Pt1 Pt 0.2500 0.2500 0.2500
Au1 Au 0.2500 0.2500 0.7500
```

Entry b
## CePuPtAu (PBE)

Data for crystalline CePuPtAu at its relaxed geometry.

Calculated values
Magnetic moment = 5.49 μB/f.u.

Geometry as CIF:
```
data_CePuPtAu
_chemical_formula_sum 'Ce4 Pu4 Pt4 Au4'
_cell_length_a 6.8867
_cell_length_b 6.8867
_cell_length_c 6.8867
_cell_angle_alpha 90.00
_cell_angle_beta 90.00
_cell_angle_gamma 90.00
_symmetry_space_group_name_H-M 'F -4 3 m'
_symmetry_Int_Tables_number 216
_symmetry_space_group_name_Hall 'F -4 2 3'
loop_
_atom_site_label
_atom_site_type_symbol
_atom_site_fract_x
_atom_site_fract_y
_atom_site_fract_z
Ce1 Ce 0.0000 0.0000 0.0000
Pu1 Pu 0.2500 0.2500 0.2500
Pt1 Pt 0.2500 0.2500 0.7500
Au1 Au 0.0000 0.0000 0.5000
```

Most stable structure: entry b

Entry a
## CePtRhAu (PBE)

Data for crystalline CePtRhAu at its relaxed geometry.

Calculated values
Magnetic moment = 0.25 μB/f.u.

Geometry as CIF:
```
data_CePtRhAu
_chemical_formula_sum 'Ce1 Pt1 Rh1 Au1'
_cell_length_a 3.9599
_cell_length_b 4.1850
_cell_length_c 4.4286
_cell_angle_alpha 90.00
_cell_angle_beta 90.00
_cell_angle_gamma 90.00
_symmetry_space_group_name_H-M 'P m m m'
_symmetry_Int_Tables_number 47
loop_
_symmetry_equiv_pos_as_xyz
'x,y,z'
'-x,-y,-z'
'-x,-y,z'
'x,y,-z'
'x,-y,-z'
'-x,y,z'
'-x,y,-z'
'x,-y,z'
loop_
_atom_site_label
_atom_site_type_symbol
_atom_site_fract_x
_atom_site_fract_y
_atom_site_fract_z
Ce1 Ce 0.0000 0.0000 0.0000
Pt1 Pt 0.5000 0.0000 0.5000
Rh1 Rh 0.5000 0.5000 0.0000
Au1 Au 0.0000 0.5000 0.5000
```

Entry b
## CePtRhAu (PBE)

Data for crystalline CePtRhAu at its relaxed geometry.

Calculated values
Magnetic moment = 0.00 μB/f.u.

Geometry as CIF:
```
data_CePtRhAu
_chemical_formula_sum 'Ce4 Pt4 Rh4 Au4'
_cell_length_a 6.7101
_cell_length_b 6.7101
_cell_length_c 6.7101
_cell_angle_alpha 90.00
_cell_angle_beta 90.00
_cell_angle_gamma 90.00
_symmetry_space_group_name_H-M 'F -4 3 m'
_symmetry_Int_Tables_number 216
_symmetry_space_group_name_Hall 'F -4 2 3'
loop_
_atom_site_label
_atom_site_type_symbol
_atom_site_fract_x
_atom_site_fract_y
_atom_site_fract_z
Ce1 Ce 0.0000 0.0000 0.0000
Pt1 Pt 0.2500 0.2500 0.2500
Rh1 Rh 0.2500 0.2500 0.7500
Au1 Au 0.0000 0.0000 0.5000
```

Most stable structure: entry a

Entry a
## CeThPtAu (PBE)

Data for crystalline CeThPtAu at its relaxed geometry.

Calculated values
Magnetic moment = 0.89 μB/f.u.

Geometry as CIF:
```
data_CeThPtAu
_chemical_formula_sum 'Ce4 Th4 Pt4 Au4'
_cell_length_a 7.2963
_cell_length_b 7.2963
_cell_length_c 7.2963
_cell_angle_alpha 90.00
_cell_angle_beta 90.00
_cell_angle_gamma 90.00
_symmetry_space_group_name_H-M 'F -4 3 m'
_symmetry_Int_Tables_number 216
_symmetry_space_group_name_Hall 'F -4 2 3'
loop_
_atom_site_label
_atom_site_type_symbol
_atom_site_fract_x
_atom_site_fract_y
_atom_site_fract_z
Ce1 Ce 0.0000 0.0000 0.0000
Th1 Th 0.0000 0.0000 0.5000
Pt1 Pt 0.2500 0.2500 0.7500
Au1 Au 0.2500 0.2500 0.2500
```

Entry b
## CeThPtAu (PBE)

Data for crystalline CeThPtAu at its relaxed geometry.

Calculated values
Magnetic moment = 0.95 μB/f.u.

Geometry as CIF:
```
data_CeThPtAu
_chemical_formula_sum 'Ce2 Th2 Pt2 Au2'
_cell_length_a 4.5210
_cell_length_b 3.9260
_cell_length_c 11.4543
_cell_angle_alpha 90.00
_cell_angle_beta 90.00
_cell_angle_gamma 90.00
_symmetry_space_group_name_H-M 'A m m 2'
_symmetry_Int_Tables_number 38
loop_
_symmetry_equiv_pos_as_xyz
'x,y,z'
'-x,-y,z'
'-x,y,z'
'x,-y,z'
'x,y+1/2,z+1/2'
'-x,-y+1/2,z+1/2'
'-x,y+1/2,z+1/2'
'x,-y+1/2,z+1/2'
loop_
_atom_site_label
_atom_site_type_symbol
_atom_site_fract_x
_atom_site_fract_y
_atom_site_fract_z
Ce1 Ce 0.0000 0.0000 0.0000
Th1 Th 0.5000 0.0000 0.2764
Pt1 Pt 0.0000 0.0000 0.7388
Au1 Au 0.5000 0.0000 0.5551
```

Most stable structure: entry b